1.
The following is a DFT calculation (GGA-PBE) of a geometry-optimized Tl2In2Au5 structure.

N(E_F), states/eV/atom: 0.258
Formation enthalpy at 0 K, eV per atom: 0.001
Mass density, Mg/m³: 11.6

Unit cell a=8.256 b=8.256 c=8.895 alpha=90.00 beta=90.00 gamma=49.83
Element x y z (fractional)
Tl 0.215 0.215 0.000
Tl 0.285 0.285 0.500
Tl 0.715 0.715 0.500
Tl 0.785 0.785 0.000
In 0.151 0.849 0.687
In 0.349 0.651 0.187
In 0.651 0.349 0.813
In 0.849 0.151 0.313
Au 0.000 0.000 0.000
Au 0.057 0.721 0.405
Au 0.221 0.557 0.905
Au 0.279 0.943 0.405
Au 0.443 0.779 0.905
Au 0.500 0.500 0.500
Au 0.557 0.221 0.095
Au 0.721 0.057 0.595
Au 0.779 0.443 0.095
Au 0.943 0.279 0.595

=====

2.
The following is a DFT calculation (GGA-PBE) of a geometry-optimized Tl2In3Au9 structure.

N(E_F), states/eV/atom: 0.207
Formation enthalpy at 0 K, eV per atom: -0.067
Mass density, Mg/m³: 13.8

Unit cell a=8.187 b=8.187 c=10.375 alpha=90.00 beta=90.00 gamma=61.06
Element x y z (fractional)
Tl 0.014 0.674 0.750
Tl 0.326 0.986 0.750
Tl 0.674 0.014 0.250
Tl 0.986 0.326 0.250
In 0.000 0.000 0.000
In 0.000 0.000 0.500
In 0.314 0.314 0.000
In 0.314 0.314 0.500
In 0.686 0.686 0.000
In 0.686 0.686 0.500
Au 0.022 0.652 0.096
Au 0.022 0.652 0.404
Au 0.139 0.861 0.250
Au 0.340 0.660 0.558
Au 0.340 0.660 0.942
Au 0.348 0.978 0.096
Au 0.348 0.978 0.404
Au 0.366 0.430 0.250
Au 0.430 0.366 0.750
Au 0.570 0.634 0.250
Au 0.634 0.570 0.750
Au 0.652 0.022 0.596
Au 0.652 0.022 0.904
Au 0.660 0.340 0.058
Au 0.660 0.340 0.442
Au 0.861 0.139 0.750
Au 0.978 0.348 0.596
Au 0.978 0.348 0.904

=====

3.
The following is a DFT calculation (GGA-PBE) of a geometry-optimized TlInAu2 structure.

N(E_F), states/eV/atom: 0.386
Formation enthalpy at 0 K, eV per atom: 0.019
Mass density, Mg/m³: 12.2

Unit cell a=6.406 b=6.406 c=6.406 alpha=103.31 beta=103.31 gamma=122.66
Element x y z (fractional)
Tl 0.000 0.000 0.000
Tl 0.750 0.250 0.500
In 0.250 0.750 0.500
In 0.500 0.500 0.000
Au 0.140 0.625 0.015
Au 0.375 0.390 0.515
Au 0.610 0.125 0.985
Au 0.875 0.860 0.485

=====

4.
The following is a DFT calculation (GGA-PBE) of a geometry-optimized TlInAu4 structure.

N(E_F), states/eV/atom: 0.636
Formation enthalpy at 0 K, eV per atom: -0.014
Mass density, Mg/m³: 14.3
ΔE to the lowest computed polymorph, meV per atom: 24

Unit cell a=5.666 b=5.666 c=5.666 alpha=60.00 beta=60.00 gamma=60.00
Element x y z (fractional)
Tl 0.000 0.000 0.000
In 0.750 0.750 0.750
Au 0.375 0.375 0.375
Au 0.375 0.375 0.874
Au 0.375 0.874 0.375
Au 0.874 0.375 0.375